No. 1
Ta2TlAs | GGA-PBE | optimized geometry

POSCAR file:
```
Ta2TlAs
1.0
4.272 -0.171 1.985
2.118 3.978 1.382
0.504 0.929 4.594
As Ta Tl
1 2 1
direct
0.000 0.000 0.000 As
0.250 0.250 0.250 Ta
0.750 0.750 0.750 Ta
0.500 0.500 0.500 Tl
```

## Properties
crystal system: cubic
uncorrected energy: -7.217 eV per atom
energy of formation: 0.464 eV/atom
theoretical density: 14.4 Mg/m³
ΔE to the lowest computed polymorph: 144 kJ/mol of formula units
magnetic moment: 0.00 μB/f.u.

***

No. 2
TaTlAs | GGA-PBE | optimized geometry

POSCAR file:
```
TaTlAs
1.0
-4.378 -2.859 -1.102
1.446 -1.289 -2.401
1.413 -3.143 2.539
Tl As Ta
1 1 1
direct
0.000 0.500 0.000 Tl
0.500 0.500 0.500 As
0.500 0.000 0.000 Ta
```

## Properties
crystal system: orthorhombic
uncorrected energy: -6.039 eV per atom
energy of formation: 0.251 eV/atom
theoretical density: 10.8 Mg/m³
ΔE to the lowest computed polymorph: 50 kJ/mol of formula units
magnetic moment: 0.00 μB/f.u.

***

No. 3
Ta2TlAs | GGA-PBE | optimized geometry

POSCAR file:
```
Ta2TlAs
1.0
5.657 -0.009 -0.004
2.712 4.964 0.004
-3.700 -3.295 2.729
Ta As Tl
2 1 1
direct
0.984 0.984 0.000 Ta
0.232 0.732 0.500 Ta
0.777 0.277 0.500 As
0.507 0.507 0.000 Tl
```

## Properties
crystal system: orthorhombic
uncorrected energy: -7.347 eV per atom
energy of formation: 0.333 eV/atom
theoretical density: 13.9 Mg/m³
ΔE to the lowest computed polymorph: 93 kJ/mol of formula units
magnetic moment: 0.00 μB/f.u.

***

No. 4
TaTlAs | GGA-PBE | optimized geometry

POSCAR file:
```
TaTlAs
1.0
7.756 0.005 0.000
6.589 4.091 0.000
-7.172 -2.048 2.125
Ta Tl As
1 1 1
direct
0.347 0.347 0.000 Ta
0.683 0.683 0.000 Tl
0.970 0.970 0.000 As
```

## Properties
crystal system: tetragonal
uncorrected energy: -5.957 eV per atom
energy of formation: 0.332 eV/atom
theoretical density: 11.4 Mg/m³
ΔE to the lowest computed polymorph: 73 kJ/mol of formula units
magnetic moment: 0.00 μB/f.u.

***

No. 5
Ta2TlAs | GGA-PBE | optimized geometry

POSCAR file:
```
Ta2TlAs
1.0
4.872 0.000 0.000
0.000 3.050 0.015
0.000 1.509 5.331
Tl Ta As
1 2 1
direct
0.000 0.562 0.502 Tl
0.500 0.205 0.219 Ta
0.000 0.819 0.979 Ta
0.500 0.914 0.800 As
```

## Properties
crystal system: monoclinic
uncorrected energy: -7.430 eV per atom
energy of formation: 0.250 eV/atom
theoretical density: 13.5 Mg/m³
ΔE to the lowest computed polymorph: 61 kJ/mol of formula units
magnetic moment: 0.00 μB/f.u.

***

No. 6
TaTl3As | GGA-PBE | optimized geometry

POSCAR file:
```
TaTl3As
1.0
-5.271 -1.513 -0.322
0.784 -1.626 -5.188
1.334 -5.024 1.776
Tl As Ta
3 1 1
direct
0.000 0.500 0.000 Tl
0.500 0.000 0.000 Tl
0.000 0.000 0.500 Tl
0.500 0.500 0.500 As
0.000 0.000 0.000 Ta
```

## Properties
crystal system: cubic
uncorrected energy: -3.689 eV per atom
energy of formation: 1.032 eV/atom
theoretical density: 8.7 Mg/m³
ΔE to the lowest computed polymorph: 0 kJ/mol of formula units
magnetic moment: 0.00 μB/f.u.

***

No. 7
TaTlAs | GGA-PBE | optimized geometry

POSCAR file:
```
TaTlAs
1.0
-2.794 1.729 0.227
-1.624 -2.425 -1.525
-1.177 -2.614 5.412
As Tl Ta
1 1 1
direct
0.000 0.000 0.988 As
0.000 0.000 0.530 Tl
0.500 0.500 0.193 Ta
```

## Properties
crystal system: tetragonal
uncorrected energy: -6.180 eV per atom
energy of formation: 0.110 eV/atom
theoretical density: 11.5 Mg/m³
ΔE to the lowest computed polymorph: 9 kJ/mol of formula units
magnetic moment: 0.00 μB/f.u.

***

No. 8
TaTlAs | GGA-PBE | optimized geometry

POSCAR file:
```
TaTlAs
1.0
-3.343 -3.059 2.475
-0.260 -1.689 -2.439
7.222 -5.459 3.010
Tl As Ta
2 2 2
direct
0.500 0.000 0.551 Tl
0.500 0.500 0.051 Tl
0.000 0.000 0.294 As
0.000 0.500 0.794 As
0.000 0.000 0.023 Ta
0.000 0.500 0.523 Ta
```

## Properties
crystal system: orthorhombic
uncorrected energy: -6.057 eV per atom
energy of formation: 0.233 eV/atom
theoretical density: 10.4 Mg/m³
ΔE to the lowest computed polymorph: 44 kJ/mol of formula units
magnetic moment: 0.00 μB/f.u.

***

No. 9
TaTlAs3 | GGA-PBE | optimized geometry

POSCAR file:
```
TaTlAs3
1.0
5.067 0.000 0.000
0.000 5.067 0.000
0.000 0.000 5.067
As Tl Ta
3 1 1
direct
0.000 0.000 0.500 As
0.000 0.500 0.000 As
0.500 0.000 0.000 As
0.500 0.500 0.500 Tl
0.000 0.000 0.000 Ta
```

## Properties
crystal system: cubic
uncorrected energy: -5.508 eV per atom
energy of formation: 0.125 eV/atom
theoretical density: 7.8 Mg/m³
ΔE to the lowest computed polymorph: 0 kJ/mol of formula units
magnetic moment: 0.00 μB/f.u.

***

No. 10
TaTlAs | GGA-PBE | optimized geometry

POSCAR file:
```
TaTlAs
1.0
3.402 0.000 0.000
-1.701 2.946 0.000
0.000 0.000 20.112
As Tl Ta
3 3 3
direct
0.000 0.000 0.867 As
0.333 0.667 0.534 As
0.667 0.333 0.200 As
0.667 0.333 0.337 Tl
0.333 0.667 0.671 Tl
0.000 0.000 0.004 Tl
0.667 0.333 0.786 Ta
0.333 0.667 0.120 Ta
0.000 0.000 0.453 Ta
```

## Properties
crystal system: trigonal
uncorrected energy: -6.154 eV per atom
energy of formation: 0.136 eV/atom
theoretical density: 11.4 Mg/m³
ΔE to the lowest computed polymorph: 16 kJ/mol of formula units
magnetic moment: 0.00 μB/f.u.

***

No. 11
TaTlAs | GGA-PBE | optimized geometry

POSCAR file:
```
TaTlAs
1.0
-0.352 -3.313 0.590
2.780 1.158 -1.541
3.018 0.748 6.008
Ta Tl As
1 1 1
direct
0.000 0.000 0.940 Ta
0.667 0.333 0.590 Tl
0.667 0.333 0.181 As
```

## Properties
crystal system: trigonal
uncorrected energy: -6.148 eV per atom
energy of formation: 0.141 eV/atom
theoretical density: 11.4 Mg/m³
ΔE to the lowest computed polymorph: 18 kJ/mol of formula units
magnetic moment: 0.00 μB/f.u.

***

No. 12
Ta2TlAs | GGA-PBE | optimized geometry

POSCAR file:
```
Ta2TlAs
1.0
-1.542 1.718 1.743
-2.318 -0.364 -1.692
-2.929 -8.574 5.859
Ta As Tl
2 1 1
direct
0.500 0.500 0.213 Ta
0.000 0.000 0.005 Ta
0.500 0.500 0.818 As
0.000 0.000 0.465 Tl
```

## Properties
crystal system: tetragonal
uncorrected energy: -7.442 eV per atom
energy of formation: 0.238 eV/atom
theoretical density: 11.8 Mg/m³
ΔE to the lowest computed polymorph: 57 kJ/mol of formula units
magnetic moment: 0.00 μB/f.u.

***

No. 13
Ta2TlAs | GGA-PBE | optimized geometry

POSCAR file:
```
Ta2TlAs
1.0
-3.032 -2.700 -0.503
2.665 -2.712 -1.509
1.426 -6.219 8.154
Tl Ta As
2 4 2
direct
0.000 0.000 0.000 Tl
0.750 0.250 0.500 Tl
0.375 0.377 0.750 Ta
0.875 0.873 0.750 Ta
0.127 0.625 0.250 Ta
0.623 0.125 0.250 Ta
0.500 0.500 0.000 As
0.250 0.750 0.500 As
```

## Properties
crystal system: tetragonal
uncorrected energy: -7.074 eV per atom
energy of formation: 0.606 eV/atom
theoretical density: 12.8 Mg/m³
ΔE to the lowest computed polymorph: 199 kJ/mol of formula units
magnetic moment: 0.00 μB/f.u.

***

No. 14
Ta2TlAs | GGA-PBE | optimized geometry

POSCAR file:
```
Ta2TlAs
1.0
3.319 0.000 0.000
0.000 4.993 -0.003
0.000 3.158 4.657
Tl As Ta
1 1 2
direct
0.500 0.500 0.500 Tl
0.000 0.000 0.500 As
0.500 0.500 0.000 Ta
0.000 0.000 0.000 Ta
```

## Properties
crystal system: monoclinic
uncorrected energy: -7.288 eV per atom
energy of formation: 0.392 eV/atom
theoretical density: 13.8 Mg/m³
ΔE to the lowest computed polymorph: 116 kJ/mol of formula units
magnetic moment: 0.00 μB/f.u.

***

No. 15
TaTlAs | GGA-PBE | optimized geometry

POSCAR file:
```
TaTlAs
1.0
7.836 0.003 -0.002
7.064 2.985 0.033
0.772 -0.703 2.898
Ta As Tl
1 1 1
direct
0.350 0.350 0.650 Ta
0.970 0.970 0.030 As
0.680 0.680 0.320 Tl
```

## Properties
crystal system: orthorhombic
uncorrected energy: -6.046 eV per atom
energy of formation: 0.243 eV/atom
theoretical density: 11.3 Mg/m³
ΔE to the lowest computed polymorph: 47 kJ/mol of formula units
magnetic moment: 0.00 μB/f.u.

***

No. 16
TaTlAs3 | GGA-PBE | optimized geometry

POSCAR file:
```
TaTlAs3
1.0
-0.383 -3.318 3.854
4.560 1.486 1.733
-2.250 3.576 2.855
As Ta Tl
3 1 1
direct
0.500 0.000 0.000 As
0.000 0.500 0.000 As
0.000 0.000 0.500 As
0.500 0.500 0.500 Ta
0.000 0.000 0.000 Tl
```

## Properties
crystal system: cubic
uncorrected energy: -3.847 eV per atom
energy of formation: 1.786 eV/atom
theoretical density: 7.6 Mg/m³
ΔE to the lowest computed polymorph: 801 kJ/mol of formula units
magnetic moment: 0.00 μB/f.u.

***

No. 17
Ta2TlAs | GGA-PBE | optimized geometry

POSCAR file:
```
Ta2TlAs
1.0
5.422 0.009 0.000
2.355 4.884 0.000
-3.888 -2.447 2.880
As Tl Ta
1 1 2
direct
0.750 0.250 0.500 As
0.500 0.500 0.000 Tl
0.250 0.750 0.500 Ta
0.000 0.000 0.000 Ta
```

## Properties
crystal system: tetragonal
uncorrected energy: -7.182 eV per atom
energy of formation: 0.498 eV/atom
theoretical density: 14.0 Mg/m³
ΔE to the lowest computed polymorph: 157 kJ/mol of formula units
magnetic moment: 0.00 μB/f.u.

***

No. 18
Ta2TlAs | GGA-PBE | optimized geometry

POSCAR file:
```
Ta2TlAs
1.0
5.400 0.002 0.008
1.979 5.025 -0.008
-3.046 -3.458 2.816
As Tl Ta
1 1 2
direct
0.750 0.250 0.500 As
0.250 0.750 0.500 Tl
0.977 0.977 0.000 Ta
0.523 0.523 0.000 Ta
```

## Properties
crystal system: orthorhombic
uncorrected energy: -7.379 eV per atom
energy of formation: 0.301 eV/atom
theoretical density: 14.0 Mg/m³
ΔE to the lowest computed polymorph: 81 kJ/mol of formula units
magnetic moment: 0.00 μB/f.u.

***

No. 19
Ta2TlAs | GGA-PBE | optimized geometry

POSCAR file:
```
Ta2TlAs
1.0
3.432 0.000 0.000
0.000 4.942 0.000
0.000 0.000 4.536
Ta As Tl
2 1 1
direct
0.000 0.000 0.000 Ta
0.500 0.500 0.000 Ta
0.000 0.500 0.500 As
0.500 0.000 0.500 Tl
```

## Properties
crystal system: orthorhombic
uncorrected energy: -7.272 eV per atom
energy of formation: 0.408 eV/atom
theoretical density: 13.8 Mg/m³
ΔE to the lowest computed polymorph: 122 kJ/mol of formula units
magnetic moment: 0.00 μB/f.u.

***

No. 20
Ta2TlAs | GGA-PBE | optimized geometry

POSCAR file:
```
Ta2TlAs
1.0
9.286 -0.015 -0.009
8.714 3.208 -0.009
8.714 1.546 2.811
As Ta Tl
1 2 1
direct
0.263 0.263 0.263 As
0.739 0.739 0.739 Ta
0.998 0.998 0.998 Ta
0.499 0.499 0.499 Tl
```

## Properties
crystal system: trigonal
uncorrected energy: -7.486 eV per atom
energy of formation: 0.194 eV/atom
theoretical density: 12.6 Mg/m³
ΔE to the lowest computed polymorph: 40 kJ/mol of formula units
magnetic moment: 0.00 μB/f.u.

***

No. 21
TaTlAs | GGA-PBE | optimized geometry

POSCAR file:
```
TaTlAs
1.0
-0.442 5.677 1.285
-4.503 3.144 1.982
3.151 -4.873 0.641
Ta Tl As
1 1 1
direct
0.367 0.367 0.000 Ta
0.669 0.669 0.000 Tl
0.964 0.964 0.000 As
```

## Properties
crystal system: tetragonal
uncorrected energy: -6.210 eV per atom
energy of formation: 0.080 eV/atom
theoretical density: 12.3 Mg/m³
ΔE to the lowest computed polymorph: 0 kJ/mol of formula units
magnetic moment: 0.00 μB/f.u.

***

No. 22
Ta2TlAs | GGA-PBE | optimized geometry

POSCAR file:
```
Ta2TlAs
1.0
-1.675 1.301 -2.245
-1.120 -2.741 0.880
-4.985 3.970 6.020
Ta Tl As
2 1 1
direct
0.000 0.000 0.970 Ta
0.000 0.000 0.530 Ta
0.500 0.500 0.250 Tl
0.500 0.500 0.750 As
```

## Properties
crystal system: orthorhombic
uncorrected energy: -7.404 eV per atom
energy of formation: 0.277 eV/atom
theoretical density: 13.8 Mg/m³
ΔE to the lowest computed polymorph: 72 kJ/mol of formula units
magnetic moment: 0.00 μB/f.u.

***

No. 23
Ta2TlAs | GGA-PBE | optimized geometry

POSCAR file:
```
Ta2TlAs
1.0
-1.556 2.599 2.725
-2.251 -2.008 0.630
2.315 -3.517 4.678
Tl Ta As
1 2 1
direct
0.500 0.250 0.250 Tl
0.000 0.957 0.966 Ta
0.000 0.543 0.534 Ta
0.500 0.750 0.750 As
```

## Properties
crystal system: monoclinic
uncorrected energy: -7.352 eV per atom
energy of formation: 0.329 eV/atom
theoretical density: 13.9 Mg/m³
ΔE to the lowest computed polymorph: 92 kJ/mol of formula units
magnetic moment: 0.00 μB/f.u.

***

No. 24
Ta2TlAs | GGA-PBE | optimized geometry

POSCAR file:
```
Ta2TlAs
1.0
-2.044 -2.387 0.509
2.414 -2.075 -0.036
0.836 0.847 7.328
As Ta Tl
1 2 1
direct
0.500 0.500 0.750 As
0.000 0.000 0.953 Ta
0.000 0.000 0.547 Ta
0.500 0.500 0.250 Tl
```

## Properties
crystal system: tetragonal
uncorrected energy: -7.554 eV per atom
energy of formation: 0.126 eV/atom
theoretical density: 14.1 Mg/m³
ΔE to the lowest computed polymorph: 14 kJ/mol of formula units
magnetic moment: 0.00 μB/f.u.

***

No. 25
Ta2TlAs | GGA-PBE | optimized geometry

POSCAR file:
```
Ta2TlAs
1.0
-2.042 -4.162 -1.779
0.394 -4.933 0.406
-3.410 -0.391 3.665
Ta Tl As
2 1 1
direct
0.008 0.008 0.024 Ta
0.492 0.492 0.476 Ta
0.750 0.750 0.750 Tl
0.250 0.250 0.250 As
```

## Properties
crystal system: monoclinic
uncorrected energy: -7.325 eV per atom
energy of formation: 0.356 eV/atom
theoretical density: 13.6 Mg/m³
ΔE to the lowest computed polymorph: 102 kJ/mol of formula units
magnetic moment: 0.00 μB/f.u.

***

No. 26
Ta2TlAs | GGA-PBE | optimized geometry

POSCAR file:
```
Ta2TlAs
1.0
-0.137 0.868 3.281
-3.077 -1.468 0.260
3.148 -6.283 1.793
As Ta Tl
1 2 1
direct
0.500 0.500 0.830 As
0.500 0.500 0.210 Ta
0.000 0.000 0.991 Ta
0.000 0.000 0.468 Tl
```

## Properties
crystal system: orthorhombic
uncorrected energy: -7.589 eV per atom
energy of formation: 0.091 eV/atom
theoretical density: 12.6 Mg/m³
ΔE to the lowest computed polymorph: 0 kJ/mol of formula units
magnetic moment: 0.00 μB/f.u.

***

No. 27
TaTlAs | GGA-PBE | optimized geometry

POSCAR file:
```
TaTlAs
1.0
-2.351 -0.744 3.927
-4.342 -1.618 -0.168
-0.913 -4.335 1.370
Ta As Tl
1 1 1
direct
0.750 0.750 0.750 Ta
0.500 0.500 0.500 As
0.000 0.000 0.000 Tl
```

## Properties
crystal system: cubic
uncorrected energy: -5.571 eV per atom
energy of formation: 0.718 eV/atom
theoretical density: 10.8 Mg/m³
ΔE to the lowest computed polymorph: 185 kJ/mol of formula units
magnetic moment: 0.00 μB/f.u.

***

No. 28
Ta2TlAs | GGA-PBE | optimized geometry

POSCAR file:
```
Ta2TlAs
1.0
2.954 -0.006 0.000
-0.871 2.822 0.000
0.000 0.000 10.798
Ta Tl As
2 1 1
direct
0.000 0.000 0.005 Ta
0.500 0.500 0.209 Ta
0.000 0.000 0.464 Tl
0.500 0.500 0.821 As
```

## Properties
crystal system: orthorhombic
uncorrected energy: -7.556 eV per atom
energy of formation: 0.124 eV/atom
theoretical density: 11.8 Mg/m³
ΔE to the lowest computed polymorph: 13 kJ/mol of formula units
magnetic moment: 0.00 μB/f.u.

***

No. 29
Ta2TlAs | GGA-PBE | optimized geometry

POSCAR file:
```
Ta2TlAs
1.0
-2.294 2.011 3.740
2.083 0.072 4.353
1.587 4.167 1.847
Ta Tl As
2 1 1
direct
0.000 0.000 0.000 Ta
0.250 0.250 0.250 Ta
0.750 0.750 0.750 Tl
0.500 0.500 0.500 As
```

## Properties
crystal system: cubic
uncorrected energy: -6.986 eV per atom
energy of formation: 0.694 eV/atom
theoretical density: 13.4 Mg/m³
ΔE to the lowest computed polymorph: 233 kJ/mol of formula units
magnetic moment: 0.00 μB/f.u.

***

No. 30
TaTl3As | GGA-PBE | optimized geometry

POSCAR file:
```
TaTl3As
1.0
5.419 0.000 0.000
0.000 5.419 0.000
0.000 0.000 5.419
Tl Ta As
3 1 1
direct
0.000 0.000 0.500 Tl
0.500 0.000 0.000 Tl
0.000 0.500 0.000 Tl
0.500 0.500 0.500 Ta
0.000 0.000 0.000 As
```

## Properties
crystal system: cubic
uncorrected energy: -3.368 eV per atom
energy of formation: 1.352 eV/atom
theoretical density: 9.1 Mg/m³
ΔE to the lowest computed polymorph: 155 kJ/mol of formula units
magnetic moment: 3.24 μB/f.u.